Below is CoGeBi2O6 after structural relaxation, with properties calculated at the PBE with a Hubbard U level.

Final energy   -0.4434 Ry per atom
M_tot   3.000 μB/f.u.
Crystal system   monoclinic

The structure in POSCAR format:
```
CoGeBi2O6
1.0
5.410 0.000 0.000
0.000 5.638 0.000
-5.364 0.000 7.741
O Bi Co Ge
12 4 2 2
direct
0.667 0.813 0.459
0.333 0.187 0.541
0.229 0.715 0.546
0.150 0.026 0.740
0.771 0.285 0.454
0.150 0.474 0.240
0.850 0.526 0.760
0.667 0.687 0.959
0.229 0.785 0.046
0.333 0.313 0.041
0.850 0.974 0.260
0.771 0.215 0.954
0.260 0.450 0.751
0.260 0.050 0.251
0.740 0.950 0.749
0.740 0.550 0.249
0.500 0.500 0.500
0.500 0.000 0.000
0.000 0.500 0.000
0.000 0.000 0.500
```